--- 1 ---
Material: La7TbTm2
Method: DFT, PBE
State: relaxed

M_tot = 0.000 μB per atom

Lattice parameters (Å, degrees): 10.5100 10.5100 3.5299 90.00 90.00 108.88
Last column: nearest neighbours and their distance in Å.
Element x y z (fractional)
La (0.0000, 0.0000, 0.0000)  10 La 3.53-3.73
La (0.1145, 0.3753, 0.0000)  1 Tm 3.17, 2 La 3.53
La (0.1803, 0.8197, 0.5000)  2 Tm 3.19, 4 La 3.53-3.55
La (0.3753, 0.1145, 0.0000)  1 Tm 3.17, 2 La 3.53
La (0.6247, 0.8855, 0.0000)  1 Tm 3.17, 2 La 3.53
La (0.8197, 0.1803, 0.5000)  2 Tm 3.19, 4 La 3.53-3.55
La (0.8855, 0.6247, 0.0000)  1 Tm 3.17, 2 La 3.53
Tb (0.5000, 0.5000, 0.5000)  4 Tm 3.31, 2 Tb 3.53
Tm (0.3361, 0.6639, 0.0000)  4 La 3.17-3.19, 2 Tb 3.31, 2 Tm 3.53
Tm (0.6639, 0.3361, 0.0000)  4 La 3.17-3.19, 2 Tb 3.31, 2 Tm 3.53

--- 2 ---
Material: La7TbTm2
Method: DFT, PBE
State: relaxed

M_tot = 0.000 μB per atom

Lattice parameters (Å, degrees): 9.2706 9.2706 5.8305 90.00 90.00 121.58
Last column: nearest neighbours and their distance in Å.
Element x y z (fractional)
La (0.0000, 0.0000, 0.0000)  2 Tm 3.31, 4 La 3.43
La (0.2026, 0.4333, 0.0000)  2 Tm 3.22-3.35, 2 La 3.29-3.43
La (0.2647, 0.7353, 0.5000)  2 Tm 3.07
La (0.4333, 0.2026, 0.0000)  2 Tm 3.22-3.35, 2 La 3.29-3.43
La (0.5667, 0.7974, 0.0000)  2 Tm 3.22-3.35, 2 La 3.29-3.43
La (0.7353, 0.2647, 0.5000)  2 Tm 3.07
La (0.7974, 0.5667, 0.0000)  2 Tm 3.22-3.35, 2 La 3.29-3.43
Tb (0.5000, 0.5000, 0.5000)  10 La 3.81-3.83
Tm (0.2046, 0.7954, 0.0000)  7 La 3.07-3.35
Tm (0.7954, 0.2046, 0.0000)  7 La 3.07-3.35

What should be chosen as the most stable of them? Choose 1.

--- 1 ---
Material: La2TbTm6
Method: DFT, PBE
State: relaxed

M_tot = 0.000 μB per atom

Lattice parameters (Å, degrees): 10.0378 10.0378 6.3318 107.10 107.10 90.10
Last column: nearest neighbours and their distance in Å.
Element x y z (fractional)
La (0.1124, 0.1874, 0.4604)  5 Tm 3.31-3.68, 2 La 3.34
La (0.1874, 0.1124, 0.9604)  5 Tm 3.31-3.68, 2 La 3.34
La (0.8126, 0.8876, 0.0396)  5 Tm 3.31-3.68, 2 La 3.34
La (0.8876, 0.8126, 0.5396)  5 Tm 3.31-3.68, 2 La 3.34
Tb (0.3702, 0.6298, 0.7500)  8 Tm 3.21-3.51
Tb (0.6298, 0.3702, 0.2500)  8 Tm 3.21-3.51
Tm (0.0501, 0.5445, 0.3014)  6 Tm 3.22-3.58, 1 La 3.35, 1 Tb 3.51
Tm (0.1320, 0.7532, 0.9757)  3 Tm 3.16-3.48, 1 Tb 3.21, 1 La 3.31
Tm (0.2468, 0.8680, 0.5243)  3 Tm 3.16-3.48, 1 Tb 3.21, 1 La 3.31
Tm (0.2990, 0.4483, 0.0688)  4 Tm 3.27-3.61, 2 Tb 3.30-3.35, 1 La 3.36
Tm (0.4483, 0.2990, 0.5688)  4 Tm 3.27-3.61, 2 Tb 3.30-3.35, 1 La 3.36
Tm (0.4555, 0.9499, 0.1986)  6 Tm 3.22-3.58, 1 La 3.35, 1 Tb 3.51
Tm (0.5445, 0.0501, 0.8014)  6 Tm 3.22-3.58, 1 La 3.35, 1 Tb 3.51
Tm (0.5517, 0.7010, 0.4312)  4 Tm 3.27-3.61, 2 Tb 3.30-3.35, 1 La 3.36
Tm (0.7010, 0.5517, 0.9312)  4 Tm 3.27-3.61, 2 Tb 3.30-3.35, 1 La 3.36
Tm (0.7532, 0.1320, 0.4757)  3 Tm 3.16-3.48, 1 Tb 3.21, 1 La 3.31
Tm (0.8680, 0.2468, 0.0243)  3 Tm 3.16-3.48, 1 Tb 3.21, 1 La 3.31
Tm (0.9499, 0.4555, 0.6986)  6 Tm 3.22-3.58, 1 La 3.35, 1 Tb 3.51

--- 2 ---
Material: La2TbTm6
Method: DFT, PBE
State: relaxed

M_tot = 0.000 μB per atom

Lattice parameters (Å, degrees): 9.7747 9.7747 3.4621 90.00 90.00 120.00
Last column: nearest neighbours and their distance in Å.
Element x y z (fractional)
La (0.3333, 0.6667, 0.0000)  2 La 3.46, 12 Tm 3.70
La (0.6667, 0.3333, 0.0000)  2 La 3.46, 12 Tm 3.70
Tb (0.0000, 0.0000, 0.0000)  2 Tb 3.46, 12 Tm 3.66
Tm (0.0000, 0.3304, 0.5000)  5 Tm 3.23-3.46
Tm (0.0000, 0.6696, 0.5000)  5 Tm 3.23-3.46
Tm (0.3304, 0.0000, 0.5000)  5 Tm 3.23-3.46
Tm (0.3304, 0.3304, 0.5000)  5 Tm 3.23-3.46
Tm (0.6696, 0.0000, 0.5000)  5 Tm 3.23-3.46
Tm (0.6696, 0.6696, 0.5000)  5 Tm 3.23-3.46

What should be chosen as the most stable of them? Choose 2.

--- 1 ---
Material: La4Tb3Tm2
Method: DFT, PBE
State: relaxed

M_tot = 0.000 μB per atom

Lattice parameters (Å, degrees): 8.1272 8.1272 8.0617 107.35 107.35 37.00
Last column: nearest neighbours and their distance in Å.
Element x y z (fractional)
La (0.0537, 0.0537, 0.3283)  6 Tb 3.60-3.68, 2 Tm 3.61, 4 La 3.65-3.67
La (0.2759, 0.2759, 0.6684)  3 Tm 3.56-3.62, 4 Tb 3.62-3.67, 5 La 3.65-3.67
La (0.7241, 0.7241, 0.3316)  3 Tm 3.56-3.62, 4 Tb 3.62-3.67, 5 La 3.65-3.67
La (0.9463, 0.9463, 0.6717)  6 Tb 3.60-3.68, 2 Tm 3.61, 4 La 3.65-3.67
Tb (0.3880, 0.3880, 0.3288)  3 Tm 3.59-3.60, 2 Tb 3.59-3.68, 7 La 3.62-3.68
Tb (0.5000, 0.5000, 0.0000)  2 Tb 3.59, 6 La 3.60-3.64, 4 Tm 3.66
Tb (0.6120, 0.6120, 0.6712)  3 Tm 3.59-3.60, 2 Tb 3.59-3.68, 7 La 3.62-3.68
Tm (0.1682, 0.1682, 0.0000)  5 La 3.56-3.62, 5 Tb 3.59-3.66, 2 Tm 3.61
Tm (0.8318, 0.8318, 0.0000)  5 La 3.56-3.62, 5 Tb 3.59-3.66, 2 Tm 3.61

--- 2 ---
Material: La4Tb3Tm2
Method: DFT, PBE
State: relaxed

M_tot = 0.000 μB per atom

Lattice parameters (Å, degrees): 6.7591 6.7591 14.5313 115.06 115.06 31.64
Last column: nearest neighbours and their distance in Å.
Element x y z (fractional)
La (0.2188, 0.2188, 0.1068)  5 Tb 3.49-3.67, 2 Tm 3.56, 2 La 3.68
La (0.2765, 0.2765, 0.6279)  3 Tb 3.63-3.73, 3 Tm 3.67, 4 La 3.68-3.93
La (0.7235, 0.7235, 0.3721)  3 Tb 3.63-3.73, 3 Tm 3.67, 4 La 3.68-3.93
La (0.7812, 0.7812, 0.8932)  5 Tb 3.49-3.67, 2 Tm 3.56, 2 La 3.68
Tb (0.4941, 0.4941, 0.1129)  3 Tb 3.35-3.68, 2 Tm 3.40, 6 La 3.49-3.67
Tb (0.5000, 0.5000, 0.5000)  4 Tm 3.37, 2 Tb 3.68, 4 La 3.73
Tb (0.5059, 0.5059, 0.8871)  3 Tb 3.35-3.68, 2 Tm 3.40, 6 La 3.49-3.67
Tm (0.0462, 0.0462, 0.7089)  4 Tb 3.37-3.40, 5 La 3.56-3.67, 2 Tm 3.68
Tm (0.9538, 0.9538, 0.2911)  4 Tb 3.37-3.40, 5 La 3.56-3.67, 2 Tm 3.68

What should be chosen as the most stable of them? Choose 1.

--- 1 ---
Material: La4Tb5Tm
Method: DFT, PBE
State: relaxed

M_tot = 0.000 μB per atom

Lattice parameters (Å, degrees): 8.1522 8.1522 8.1522 98.12 98.12 135.86
Last column: nearest neighbours and their distance in Å.
Element x y z (fractional)
La (0.0000, 0.3226, 0.3226)  2 Tb 3.34, 1 Tm 3.68
La (0.0000, 0.6774, 0.6774)  2 Tb 3.34, 1 Tm 3.68
La (0.3226, 0.0000, 0.3226)  2 Tb 3.34, 1 Tm 3.68
La (0.6774, 0.0000, 0.6774)  2 Tb 3.34, 1 Tm 3.68
Tb (0.2644, 0.2644, 0.0000)  2 Tm 2.92-3.20
Tb (0.3425, 0.3425, 0.6233)  1 Tm 3.25, 3 Tb 3.28-3.58, 2 La 3.34
Tb (0.3425, 0.7193, 0.0000)  1 Tm 3.25, 3 Tb 3.28-3.58, 2 La 3.34
Tb (0.7193, 0.3425, 0.0000)  1 Tm 3.25, 3 Tb 3.28-3.58, 2 La 3.34
Tb (0.7193, 0.7193, 0.3767)  1 Tm 3.25, 3 Tb 3.28-3.58, 2 La 3.34
Tm (0.7874, 0.7874, 0.0000)  6 Tb 2.92-3.25

--- 2 ---
Material: La4Tb5Tm
Method: DFT, PBE
State: relaxed

M_tot = 0.000 μB per atom

Lattice parameters (Å, degrees): 8.7951 8.7951 11.4553 90.20 90.20 23.35
Last column: nearest neighbours and their distance in Å.
Element x y z (fractional)
La (0.0319, 0.0319, 0.2489)  4 Tb 3.34-3.43, 2 Tm 3.40, 2 La 3.56
La (0.3376, 0.3376, 0.2504)  4 La 3.56-3.79, 6 Tb 3.65-3.88
La (0.6624, 0.6624, 0.7496)  4 La 3.56-3.79, 6 Tb 3.65-3.88
La (0.9681, 0.9681, 0.7511)  4 Tb 3.34-3.43, 2 Tm 3.40, 2 La 3.56
Tb (0.1719, 0.1719, 0.0479)  2 La 3.34-3.67, 4 Tb 3.41-3.56, 2 Tm 3.50
Tb (0.1729, 0.1729, 0.4494)  2 La 3.34-3.65, 6 Tb 3.40-3.56
Tb (0.5000, 0.5000, 0.5000)  4 La 3.43, 6 Tb 3.52-3.56
Tb (0.8271, 0.8271, 0.5506)  2 La 3.34-3.65, 6 Tb 3.40-3.56
Tb (0.8281, 0.8281, 0.9521)  2 La 3.34-3.67, 4 Tb 3.41-3.56, 2 Tm 3.50
Tm (0.5000, 0.5000, 0.0000)  4 La 3.40, 4 Tb 3.50, 2 Tm 3.56

What should be chosen as the most stable of them? Choose 2.

--- 1 ---
Material: La4TbTm4
Method: DFT, PBE
State: relaxed

M_tot = 0.000 μB per atom

Lattice parameters (Å, degrees): 10.7670 10.7670 10.7670 147.24 147.24 47.00
Last column: nearest neighbours and their distance in Å.
Element x y z (fractional)
La (0.0000, 0.5000, 0.5000)  2 Tb 3.04
La (0.1423, 0.1423, 0.0000)  1 Tb 2.81, 2 Tm 3.02
La (0.5000, 0.0000, 0.5000)  2 Tb 3.04
La (0.8577, 0.8577, 0.0000)  1 Tb 2.81, 2 Tm 3.02
Tb (0.0000, 0.0000, 0.0000)  6 La 2.81-3.04
Tm (0.1121, 0.1121, 0.6381)  2 La 3.02-3.36, 1 Tm 3.11
Tm (0.4740, 0.4740, 0.3619)  2 La 3.02-3.36, 1 Tm 3.11
Tm (0.5260, 0.8879, 0.0000)  2 La 3.02-3.36, 1 Tm 3.11
Tm (0.8879, 0.5260, 0.0000)  2 La 3.02-3.36, 1 Tm 3.11

--- 2 ---
Material: La4TbTm4
Method: DFT, PBE
State: relaxed

M_tot = 0.000 μB per atom

Lattice parameters (Å, degrees): 8.0708 8.0708 8.0708 95.81 95.81 142.89
Last column: nearest neighbours and their distance in Å.
Element x y z (fractional)
La (0.0000, 0.3302, 0.3302)  1 Tb 3.57, 6 Tm 3.60-3.64, 5 La 3.65-3.68
La (0.0000, 0.6698, 0.6698)  1 Tb 3.57, 6 Tm 3.60-3.64, 5 La 3.65-3.68
La (0.3302, 0.0000, 0.3302)  1 Tb 3.57, 6 Tm 3.60-3.64, 5 La 3.65-3.68
La (0.6698, 0.0000, 0.6698)  1 Tb 3.57, 6 Tm 3.60-3.64, 5 La 3.65-3.68
Tb (0.0000, 0.0000, 0.0000)  4 La 3.57, 8 Tm 3.59
Tm (0.3359, 0.3359, 0.6718)  4 Tm 3.55-3.68, 2 Tb 3.59, 6 La 3.60-3.64
Tm (0.3359, 0.6641, 0.0000)  4 Tm 3.55-3.68, 2 Tb 3.59, 6 La 3.60-3.64
Tm (0.6641, 0.3359, 0.0000)  4 Tm 3.55-3.68, 2 Tb 3.59, 6 La 3.60-3.64
Tm (0.6641, 0.6641, 0.3282)  4 Tm 3.55-3.68, 2 Tb 3.59, 6 La 3.60-3.64

What should be chosen as the most stable of them? Choose 2.